# 1
DFT (PBE) results for Zr4CoCuC2 after structural relaxation.

Cell: 3.3043 3.3043 13.3226 Å, 90.00 90.00 120.00°
Last column: nearest neighbours and their distance in Å.
Space group P-6m2 (No. 187)
One atom of each set of equivalent atoms:
1 Zr 0.0000 0.0000 0.1456 [2 per cell]  3 C 2.34
2 Zr 0.6667 0.3333 0.3442 [2 per cell]  3 C 2.30
3 Co 0.6667 0.3333 0.0000 [1 per cell]  6 Zr 2.72
4 Cu 0.0000 0.0000 0.5000 [1 per cell]  6 Zr 2.82
5 C 0.3333 0.6667 0.2475 [2 per cell]  6 Zr 2.30-2.34

## Properties
**Spin magnetization**: 0.009 μB/atom
**Volume**: 126.0 Å³/cell
**Final energy**: -8.288 eV/atom
**Theoretical density**: 6.74 Mg/m³

---

# 2
DFT (PBE) results for DyY2Co2B2N3 after structural relaxation.

Cell: 3.4746 3.4746 19.8918 Å, 90.00 90.00 90.00°
Last column: nearest neighbours and their distance in Å.
Space group I4/mmm (No. 139)
One atom of each set of equivalent atoms:
1 Dy 0.0000 0.0000 0.0000 [2 per cell]  6 N 2.35-2.46
2 Y 0.0000 0.0000 0.3759 [4 per cell]  5 N 2.46-2.47
3 Co 0.0000 0.5000 0.2500 [4 per cell]  4 B 2.07
4 B 0.0000 0.0000 0.1938 [4 per cell]  1 N 1.51
5 N 0.0000 0.0000 0.1180 [4 per cell]  1 B 1.51
6 N 0.0000 0.0000 0.5000 [2 per cell]  4 Dy 2.46, 2 Y 2.47

## Properties
**Spin magnetization**: 0.004 μB/atom
**Volume**: 240.1 Å³/cell
**Final energy**: -8.220 eV/atom
**Theoretical density**: 7.22 Mg/m³

---

Q: Which formula does entry 2 have?
A: DyY2Co2B2N3

---

Q: Among the records above, which one has the highest theoretical density?
A: DyY2Co2B2N3

---

What did the first record say?
DFT (PBE) results for Zr4CoCuC2 after structural relaxation.

Cell: 3.3043 3.3043 13.3226 Å, 90.00 90.00 120.00°
Last column: nearest neighbours and their distance in Å.
Space group P-6m2 (No. 187)
One atom of each set of equivalent atoms:
1 Zr 0.0000 0.0000 0.1456 [2 per cell]  3 C 2.34
2 Zr 0.6667 0.3333 0.3442 [2 per cell]  3 C 2.30
3 Co 0.6667 0.3333 0.0000 [1 per cell]  6 Zr 2.72
4 Cu 0.0000 0.0000 0.5000 [1 per cell]  6 Zr 2.82
5 C 0.3333 0.6667 0.2475 [2 per cell]  6 Zr 2.30-2.34

## Properties
**Spin magnetization**: 0.009 μB/atom
**Volume**: 126.0 Å³/cell
**Final energy**: -8.288 eV/atom
**Theoretical density**: 6.74 Mg/m³

---

Q: Which formula does entry 2 have?
A: DyY2Co2B2N3